First-principles (PBE with a Hubbard U) data for a geometry-optimized MnMoOF2 structure, as listed in Alexandria.

Crystal system   tetragonal
Symmetry   No. 123
VASP energy   -6.043 eV per atom

Cell and atoms, written as extended XYZ:
```
5
Lattice="4.278 0.000 0.000 0.000 4.278 0.000 0.000 0.000 4.208" Properties=species:S:1:pos:R:3 pbc="T T T"
F 0.000 2.139 0.000
Mn 2.139 2.139 2.104
O 0.000 0.000 2.104
Mo 0.000 0.000 0.000
F 2.139 0.000 0.000
```